{
  "formula": "K2AgAu3",
  "functional": "PBE",
  "state": "optimized geometry",
  "mass_density_g_cm3": 9.08,
  "ef_ev_per_atom": -0.2404,
  "dft_energy_ev_per_atom": -2.72,
  "lattice_angstrom": [[10.028, 0.000, 0.000], [0.000, 5.947, 0.000], [-3.389, 0.000, 4.764]],
  "species": ["K", "K", "K", "K", "Ag", "Ag", "Au", "Au", "Au", "Au", "Au", "Au"],
  "frac_coords": [[0.124, 0.000, 0.372], [0.376, 0.500, 0.628], [0.624, 0.500, 0.372], [0.876, 0.000, 0.628], [0.000, 0.500, 0.500], [0.500, 0.000, 0.500], [0.000, 0.500, 0.000], [0.250, 0.250, 0.000], [0.250, 0.750, 0.000], [0.500, 0.000, 0.000], [0.750, 0.250, 0.000], [0.750, 0.750, 0.000]]
}